(1)
DFT (GGA-PBE) results for a geometry-optimized ZnIrPb2O6 structure.

Results
Density   9.87 Mg/m³
Magnetic moment   0.00 μB/atom

Lattice parameters (Å, degrees): 5.6353 5.7469 9.7544 90.00 125.10 90.00
Positions (direct):
Zn1 0.0000 0.0000 0.0000
Zn2 0.0000 0.5000 0.5000
Ir1 0.5000 0.0000 0.5000
Ir2 0.5000 0.5000 0.0000
Pb1 0.2379 0.0423 0.7469
Pb2 0.2379 0.4577 0.2469
Pb3 0.7621 0.5423 0.7531
Pb4 0.7621 0.9577 0.2531
O1 0.1713 0.1950 0.4563
O2 0.1713 0.3050 0.9563
O3 0.2567 0.7197 0.4489
O4 0.2567 0.7803 0.9489
O5 0.3520 0.0370 0.2610
O6 0.3520 0.4630 0.7610
O7 0.6480 0.5370 0.2390
O8 0.6480 0.9630 0.7390
O9 0.7433 0.2197 0.0511
O10 0.7433 0.2803 0.5511
O11 0.8287 0.6950 0.0437
O12 0.8287 0.8050 0.5437

***

(2)
DFT (GGA-PBE) results for a geometry-optimized ZnIrPbO6 structure.

Results
Density   8.36 Mg/m³
Magnetic moment   0.00 μB/atom

Lattice parameters (Å, degrees): 5.4713 5.4713 8.5972 90.00 90.00 120.00
Positions (direct):
Zn1 0.0000 0.0000 0.0000
Zn2 0.0000 0.0000 0.5000
Ir1 0.3333 0.6667 0.2500
Ir2 0.6667 0.3333 0.7500
Pb1 0.3333 0.6667 0.7500
Pb2 0.6667 0.3333 0.2500
O1 0.0429 0.3680 0.1244
O2 0.0429 0.6750 0.3756
O3 0.3250 0.3680 0.3756
O4 0.3250 0.9571 0.1244
O5 0.3680 0.0429 0.6244
O6 0.3680 0.3250 0.8756
O7 0.6320 0.6750 0.1244
O8 0.6320 0.9571 0.3756
O9 0.6750 0.0429 0.8756
O10 0.6750 0.6320 0.6244
O11 0.9571 0.3250 0.6244
O12 0.9571 0.6320 0.8756

***

(3)
DFT (GGA-PBE) results for a geometry-optimized ZrIrPbO6 structure.

Results
Density   6.50 Mg/m³
Magnetic moment   0.27 μB/atom

Lattice parameters (Å, degrees): 7.5856 7.5856 7.5856 122.79 120.86 86.88
Positions (direct):
Zr1 0.0000 0.0000 0.0000
Zr2 0.5000 0.0000 0.5000
Ir1 0.5000 0.0000 0.0000
Ir2 0.5000 0.5000 0.5000
Pb1 0.0281 0.2781 0.7500
Pb2 0.9719 0.7219 0.2500
O1 0.1715 0.9215 0.2500
O2 0.1967 0.3311 0.2542
O3 0.1967 0.9425 0.8656
O4 0.4231 0.0575 0.7542
O5 0.4231 0.6689 0.3656
O6 0.4388 0.6888 0.7500
O7 0.5612 0.3112 0.2500
O8 0.5769 0.3311 0.6344
O9 0.5769 0.9425 0.2458
O10 0.8033 0.0575 0.1344
O11 0.8033 0.6689 0.7458
O12 0.8285 0.0785 0.7500

***

(4)
DFT (GGA-PBE) results for a geometry-optimized Ir3PdO structure.

Results
Density   10.54 Mg/m³
Offset from the most stable computed form   1909 meV/atom
Magnetic moment   1.27 μB/atom

Lattice parameters (Å, degrees): 4.7927 4.7927 4.7927 90.00 90.00 90.00
Positions (direct):
Ir1 0.0000 0.0000 0.5000
Ir2 0.0000 0.5000 0.0000
Ir3 0.5000 0.0000 0.0000
Pd1 0.0000 0.0000 0.0000
O1 0.5000 0.5000 0.5000

***

(5)
DFT (GGA-PBE) results for a geometry-optimized Ir2PdO6 structure.

Results
Density   9.97 Mg/m³
Magnetic moment   0.00 μB/atom

Lattice parameters (Å, degrees): 8.8356 8.8356 4.3358 90.00 90.00 120.00
Positions (direct):
Ir1 0.0000 0.3500 0.0000
Ir2 0.0000 0.6829 0.5000
Ir3 0.3171 0.3171 0.5000
Ir4 0.3500 0.0000 0.0000
Ir5 0.6500 0.6500 0.0000
Ir6 0.6829 0.0000 0.5000
Pd1 0.0000 0.0000 0.0000
Pd2 0.3333 0.6667 0.4976
Pd3 0.6667 0.3333 0.5024
O1 0.1035 0.2256 0.2436
O2 0.1082 0.5727 0.2468
O3 0.1221 0.8965 0.2436
O4 0.2188 0.4426 0.7495
O5 0.2238 0.7812 0.7495
O6 0.2256 0.1035 0.7564
O7 0.4273 0.5354 0.2468
O8 0.4426 0.2188 0.2505
O9 0.4646 0.8918 0.2468
O10 0.5354 0.4273 0.7532
O11 0.5574 0.7762 0.7495
O12 0.5727 0.1082 0.7532
O13 0.7744 0.8779 0.2436
O14 0.7762 0.5574 0.2505
O15 0.7812 0.2238 0.2505
O16 0.8779 0.7744 0.7564
O17 0.8918 0.4646 0.7532
O18 0.8965 0.1221 0.7564

***

(6)
DFT (GGA-PBE) results for a geometry-optimized IrPdO3 structure.

Results
Density   9.54 Mg/m³
Magnetic moment   0.76 μB/atom

Lattice parameters (Å, degrees): 3.9216 3.9216 3.9216 90.00 90.00 90.00
Positions (direct):
Ir1 0.0000 0.0000 0.0000
Pd1 0.5000 0.5000 0.5000
O1 0.0000 0.5000 0.5000
O2 0.5000 0.0000 0.5000
O3 0.5000 0.5000 0.0000

***

(7)
DFT (GGA-PBE) results for a geometry-optimized Ir3PdO structure.

Results
Density   16.43 Mg/m³
Offset from the most stable computed form   0 meV/atom
Magnetic moment   0.00 μB/atom

Lattice parameters (Å, degrees): 4.1340 4.1340 4.1340 90.00 90.00 90.00
Positions (direct):
Ir1 0.0000 0.0000 0.5000
Ir2 0.0000 0.5000 0.0000
Ir3 0.5000 0.0000 0.0000
Pd1 0.5000 0.5000 0.5000
O1 0.0000 0.0000 0.0000

***

(8)
DFT (GGA-PBE) results for a geometry-optimized IrPd2O structure.

Results
Density   12.58 Mg/m³
Magnetic moment   0.00 μB/atom

Lattice parameters (Å, degrees): 5.3145 5.3145 5.3145 103.47 103.47 122.28
Positions (direct):
Ir1 0.0000 0.0000 0.0000
Ir2 0.7500 0.2500 0.5000
Pd1 0.1749 0.6250 0.0499
Pd2 0.3750 0.4249 0.5499
Pd3 0.5751 0.1250 0.9501
Pd4 0.8750 0.8251 0.4501
O1 0.2500 0.7500 0.5000
O2 0.5000 0.5000 0.0000

***

VASP energy values, unit eV/atom, following the record order: -5.713; -5.597; -7.091; -4.620; -6.416; -4.895; -6.530; -5.505.
Formation energy from raw total energies values, unit eV/atom, following the record order: -0.9826; -0.7534; -1.4394; 2.7263; -0.5648; 0.8907; 0.8169; 0.5461.